No. 1
Computed, not measured: crystalline NbAl2Ru at its relaxed geometry at the PBE level of DFT.

Cell: 7.0116 7.0116 5.6494 Å, 51.64 51.64 90.00°
Positions (direct):
Al1 0.3750 0.3477 0.7500
Ru1 0.7500 0.2500 0.5000
Al2 0.0977 0.6250 0.2500
Al3 0.6523 0.1250 0.2500
Nb1 0.2500 0.7500 0.5000
Ru2 0.0000 0.0000 0.0000
Nb2 0.5000 0.5000 0.0000
Al4 0.8750 0.9023 0.7500

## Properties
For the spin magnetization, the calculation gives 0.000 Bohr magnetons per cell. As for the symmetry: I-42d (122). For the volume, the calculation gives 16.64 Å³/atom. For the total energy, the calculation gives -6.669 eV/atom. Its crystal system is tetragonal.

=====

No. 2
Computed, not measured: crystalline Nb6AlRu at its relaxed geometry at the PBE level of DFT.

Cell: 7.3297 7.3300 5.1848 Å, 45.02 45.02 60.00°
Positions (direct):
Ru1 0.0000 0.0000 0.0000
Nb1 0.0005 0.4993 0.2533
Al1 0.5000 0.5000 0.5000
Nb2 0.5000 0.7533 0.7464
Nb3 0.5000 0.2467 0.2536
Nb4 0.2466 0.0001 0.2533
Nb5 0.9995 0.5007 0.7467
Nb6 0.7534 0.9999 0.7467

## Properties
For the spin magnetization, the calculation gives 0.000 Bohr magnetons per cell. As for the symmetry: Pm-3 (200). For the volume, the calculation gives 17.42 Å³/atom. For the total energy, the calculation gives -9.425 eV/atom. Its crystal system is cubic.

=====

No. 3
Computed, not measured: crystalline NbAl2Ru at its relaxed geometry at the PBE level of DFT.

Cell: 2.9977 2.9977 6.7727 Å, 90.00 90.00 90.00°
Positions (direct):
Ru1 0.5000 0.5000 0.0000
Nb1 0.5000 0.5000 0.5000
Al1 0.0000 0.0000 0.2091
Al2 0.0000 0.0000 0.7909

## Properties
For the spin magnetization, the calculation gives 0.000 Bohr magnetons per cell. As for the symmetry: P4/mmm (123). For the volume, the calculation gives 15.22 Å³/atom. For the total energy, the calculation gives -7.214 eV/atom. Its crystal system is tetragonal.